Rb3HfSc | meta-GGA SCAN | PBEsol geometry

Output
Formation enthalpy at 0 K (eV/f.u.): 9.0

a b c (Å): 6.662 6.662 6.662
angles (deg): 90.00 90.00 90.00
Element x y z (fractional)
Rb (0.000, 0.000, 0.500)
Rb (0.000, 0.500, 0.000)
Rb (0.500, 0.000, 0.000)
Hf (0.500, 0.500, 0.500)
Sc (0.000, 0.000, 0.000)

RbHfZr2Sc | meta-GGA SCAN | PBEsol geometry

Output
Formation enthalpy at 0 K (eV/f.u.): 9.4

a b c (Å): 4.952 4.952 5.033
angles (deg): 90.00 90.00 90.00
Element x y z (fractional)
Rb (0.000, 0.000, 0.000)
Hf (0.000, 0.000, 0.500)
Zr (0.000, 0.500, 0.000)
Zr (0.500, 0.000, 0.000)
Sc (0.500, 0.500, 0.500)

RbHfSe3 | meta-GGA SCAN | PBEsol geometry

Output
Uncorrected formation energy (eV per atom): -1.238

a b c (Å): 5.192 5.192 5.192
angles (deg): 90.00 90.00 90.00
Element x y z (fractional)
Rb (0.000, 0.000, 0.000)
Hf (0.500, 0.500, 0.500)
Se (0.000, 0.500, 0.500)
Se (0.500, 0.000, 0.500)
Se (0.500, 0.500, 0.000)

RbHfSi2 | meta-GGA SCAN | PBEsol geometry

Output
Uncorrected formation energy (eV per atom): 0.480

a b c (Å): 5.573 5.573 17.362
angles (deg): 90.00 90.00 90.00
Element x y z (fractional)
Rb (0.000, 0.250, 0.375)
Rb (0.000, 0.750, 0.625)
Rb (0.500, 0.250, 0.125)
Rb (0.500, 0.750, 0.875)
Hf (0.000, 0.250, 0.875)
Hf (0.000, 0.750, 0.125)
Hf (0.500, 0.250, 0.625)
Hf (0.500, 0.750, 0.375)
Si (0.000, 0.000, 0.000)
Si (0.000, 0.500, 0.000)
Si (0.250, 0.250, 0.750)
Si (0.250, 0.750, 0.250)
Si (0.500, 0.000, 0.500)
Si (0.500, 0.500, 0.500)
Si (0.750, 0.250, 0.750)
Si (0.750, 0.750, 0.250)

RbHfTi2Si | meta-GGA SCAN | PBEsol geometry

Output
Uncorrected formation energy (eV per atom): 0.847

a b c (Å): 4.864 4.864 5.098
angles (deg): 90.00 90.00 90.00
Element x y z (fractional)
Rb (0.000, 0.000, 0.000)
Hf (0.500, 0.500, 0.000)
Ti (0.000, 0.500, 0.500)
Ti (0.500, 0.000, 0.500)
Si (0.500, 0.500, 0.500)

RbSrHf2Tc | meta-GGA SCAN | PBEsol geometry

Output
Formation enthalpy at 0 K (eV/f.u.): 12.1

a b c (Å): 5.416 5.416 4.896
angles (deg): 90.00 90.00 90.00
Element x y z (fractional)
Rb (0.000, 0.000, 0.000)
Sr (0.500, 0.500, 0.500)
Hf (0.000, 0.500, 0.500)
Hf (0.500, 0.000, 0.500)
Tc (0.500, 0.500, 0.000)

RbSrHf2Te | meta-GGA SCAN | PBEsol geometry

Output
Uncorrected formation energy (eV per atom): 1.530

a b c (Å): 5.101 5.101 6.100
angles (deg): 90.00 90.00 90.00
Element x y z (fractional)
Rb (0.000, 0.000, 0.000)
Sr (0.500, 0.500, 0.500)
Hf (0.000, 0.500, 0.000)
Hf (0.500, 0.000, 0.000)
Te (0.000, 0.000, 0.500)

Rb3HfTi | meta-GGA SCAN | PBEsol geometry

Output
Formation enthalpy at 0 K (eV/f.u.): 9.2

a b c (Å): 6.513 6.513 6.513
angles (deg): 90.00 90.00 90.00
Element x y z (fractional)
Rb (0.000, 0.000, 0.500)
Rb (0.000, 0.500, 0.000)
Rb (0.500, 0.000, 0.000)
Hf (0.500, 0.500, 0.500)
Ti (0.000, 0.000, 0.000)

Hf5Re24 | meta-GGA SCAN | PBEsol geometry

Output
Formation enthalpy at 0 K (eV/f.u.): -9.7

a b c (Å): 8.375 8.375 8.375
angles (deg): 109.47 109.47 109.47
Element x y z (fractional)
Hf (0.000, 0.000, 0.000)
Hf (0.000, 0.000, 0.371)
Hf (0.000, 0.371, 0.000)
Hf (0.371, 0.000, 0.000)
Hf (0.629, 0.629, 0.629)
Re (0.000, 0.322, 0.603)
Re (0.000, 0.603, 0.322)
Re (0.000, 0.624, 0.807)
Re (0.000, 0.807, 0.624)
Re (0.183, 0.376, 0.376)
Re (0.193, 0.193, 0.817)
Re (0.193, 0.817, 0.193)
Re (0.281, 0.678, 0.678)
Re (0.322, 0.000, 0.603)
Re (0.322, 0.603, 0.000)
Re (0.376, 0.183, 0.376)
Re (0.376, 0.376, 0.183)
Re (0.397, 0.397, 0.719)
Re (0.397, 0.719, 0.397)
Re (0.603, 0.000, 0.322)
Re (0.603, 0.322, 0.000)
Re (0.624, 0.000, 0.807)
Re (0.624, 0.807, 0.000)
Re (0.678, 0.281, 0.678)
Re (0.678, 0.678, 0.281)
Re (0.719, 0.397, 0.397)
Re (0.807, 0.000, 0.624)
Re (0.807, 0.624, 0.000)
Re (0.817, 0.193, 0.193)

Hf2ReRh | meta-GGA SCAN | PBEsol geometry

Output
Formation enthalpy at 0 K (eV/f.u.): -3.4

a b c (Å): 6.450 6.450 6.450
angles (deg): 90.00 90.00 90.00
Element x y z (fractional)
Hf (0.250, 0.250, 0.250)
Hf (0.250, 0.250, 0.750)
Hf (0.250, 0.750, 0.250)
Hf (0.250, 0.750, 0.750)
Hf (0.750, 0.250, 0.250)
Hf (0.750, 0.250, 0.750)
Hf (0.750, 0.750, 0.250)
Hf (0.750, 0.750, 0.750)
Re (0.000, 0.000, 0.000)
Re (0.000, 0.500, 0.500)
Re (0.500, 0.000, 0.500)
Re (0.500, 0.500, 0.000)
Rh (0.000, 0.000, 0.500)
Rh (0.000, 0.500, 0.000)
Rh (0.500, 0.000, 0.000)
Rh (0.500, 0.500, 0.500)

HfRe2Rh2 | meta-GGA SCAN | PBEsol geometry

Output
Formation enthalpy at 0 K (eV/f.u.): -0.2

a b c (Å): 3.561 3.561 12.924
angles (deg): 90.00 90.00 90.00
Element x y z (fractional)
Hf (0.000, 0.000, 0.000)
Hf (0.500, 0.500, 0.500)
Re (0.000, 0.500, 0.250)
Re (0.000, 0.500, 0.750)
Re (0.500, 0.000, 0.250)
Re (0.500, 0.000, 0.750)
Rh (0.000, 0.000, 0.403)
Rh (0.000, 0.000, 0.597)
Rh (0.500, 0.500, 0.097)
Rh (0.500, 0.500, 0.903)

HfRe3S | meta-GGA SCAN | PBEsol geometry

Output
Uncorrected formation energy (eV per atom): 0.496

a b c (Å): 4.335 4.335 4.335
angles (deg): 90.00 90.00 90.00
Element x y z (fractional)
Hf (0.000, 0.000, 0.000)
Re (0.000, 0.500, 0.500)
Re (0.500, 0.000, 0.500)
Re (0.500, 0.500, 0.000)
S (0.500, 0.500, 0.500)

Number 1: density of states at the Fermi level 1.485 states/eV per atom, mass density 2.7 g/cm³. Number 2: density of states at the Fermi level 1.563 states/eV per atom, mass density 6.6 g/cm³. Number 3: density of states at the Fermi level 0.454 states/eV per atom, mass density 5.9 g/cm³. Number 4: density of states at the Fermi level 0.538 states/eV per atom, mass density 3.9 g/cm³. Number 5: density of states at the Fermi level 0.974 states/eV per atom, mass density 5.3 g/cm³. Number 6: density of states at the Fermi level 0.930 states/eV per atom, mass density 7.3 g/cm³. Number 7: density of states at the Fermi level 0.652 states/eV per atom, mass density 6.9 g/cm³. Number 8: density of states at the Fermi level 2.078 states/eV per atom, mass density 2.9 g/cm³. Number 9: density of states at the Fermi level 0.711 states/eV per atom, mass density 19.7 g/cm³. Number 10: density of states at the Fermi level 0.204 states/eV per atom, mass density 16.0 g/cm³. Number 11: density of states at the Fermi level 1.295 states/eV per atom, mass density 15.3 g/cm³. Number 12: density of states at the Fermi level 0.515 states/eV per atom, mass density 15.7 g/cm³.